A geometry-optimized KRhIN2 structure, computed with PBE-GGA.

Calculated values
Uncorrected energy: -15.00 eV for the cell shown
Offset from the most stable computed form: 1449 meV per atom
ΔE_f (raw): 1124.0 kJ/mol of formula units

a b c (Å): 4.9004 4.9004 6.9002
angles (deg): 90.00 90.00 90.00
With the nearest neighbours (Å) after each atom.
Space group P4/mmm (No. 123)
Inequivalent atoms, fractional coordinates:
K: 0.0000 0.0000 0.0000  4 N 2.45
Rh: 0.5000 0.5000 0.5000  4 I 3.47
I: 0.0000 0.0000 0.5000  2 K 3.45, 4 Rh 3.47
N: 0.0000 0.5000 0.0000  2 K 2.45